GGA-PBE HfMn6Al6, relaxed; formation enthalpy at 0 K = -0.25 eV per atom; space-group type = Immm, No. 71; ρ = 6.190 Mg/m³; total energy = -90.72 eV/cell; V = 13.83 A^3/atom
1.0
-2.5228 4.1845 4.2565
2.5228 -4.1845 4.2565
2.5228 4.1845 -4.2565
Hf Mn Al
1 6 6
Direct
0.0000 0.0000 0.0000
0.0000 0.0000 0.5000
0.0000 0.5000 0.0000
0.2398 0.7398 0.5000
0.5000 0.0000 0.0000
0.5000 0.5000 0.5000
0.7602 0.2602 0.5000
0.1867 0.5000 0.6867
0.3379 0.3379 0.0000
0.3432 0.0000 0.3432
0.6568 0.0000 0.6568
0.6621 0.6621 0.0000
0.8133 0.5000 0.3133



GGA-PBE ScSe2F, relaxed; offset from the most stable computed form = 0.29 eV per formula unit; space-group type = I-42d, No. 122; ρ = 4.955 Mg/m³; total energy = -39.78 eV/cell; raw formation energy = -1.1795 eV/atom; V = 18.59 A^3/atom
1.0
-1.9330 1.9330 9.9499
1.9330 -1.9330 9.9499
1.9330 1.9330 -9.9499
Sc Se F
2 4 2
Direct
0.0000 0.0000 0.0000
0.7500 0.2500 0.5000
0.1213 0.6250 0.9963
0.3750 0.3713 0.4963
0.6287 0.1250 0.0037
0.8750 0.8787 0.5037
0.2500 0.7500 0.5000
0.5000 0.5000 0.0000



GGA-PBE TaBePb2, relaxed; formation enthalpy at 0 K = 0.85 eV per atom; space-group type = I4/mmm, No. 139; ρ = 11.925 Mg/m³; total energy = -19.60 eV/cell; V = 21.04 A^3/atom
1.0
-2.1708 2.1708 4.4648
2.1708 -2.1708 4.4648
2.1708 2.1708 -4.4648
Ta Be Pb
1 1 2
Direct
0.0000 0.0000 0.0000
0.5000 0.5000 0.0000
0.2500 0.7500 0.5000
0.7500 0.2500 0.5000



GGA-PBE Hf6Pt2Rh, relaxed; formation enthalpy at 0 K = -0.63 eV per atom; offset from the most stable computed form = 0.00 eV per formula unit; space-group type = P-62m, No. 189; ρ = 14.623 Mg/m³; total energy = -84.86 eV/cell; V = 19.73 A^3/atom
1.0
7.7566 0.0000 0.0000
-3.8783 6.7174 0.0000
0.0000 0.0000 3.4085
Hf Pt Rh
6 2 1
Direct
0.0000 0.4087 0.0000
0.0000 0.7418 0.5000
0.2582 0.2582 0.5000
0.4087 0.0000 0.0000
0.5913 0.5913 0.0000
0.7418 0.0000 0.5000
0.3333 0.6667 0.5000
0.6667 0.3333 0.5000
0.0000 0.0000 0.0000



GGA-PBE Cu2HPt, relaxed; offset from the most stable computed form = 2.23 eV per formula unit; space-group type = Fm-3m, No. 225; ρ = 10.924 Mg/m³; total energy = -15.41 eV/cell; V = 12.28 A^3/atom
1.0
0.0000 2.9069 2.9069
2.9069 0.0000 2.9069
2.9069 2.9069 0.0000
Cu H Pt
2 1 1
Direct
0.2500 0.2500 0.2500
0.7500 0.7500 0.7500
0.0000 0.0000 0.0000
0.5000 0.5000 0.5000



GGA-PBE Ta4Mo5, relaxed; formation enthalpy at 0 K = 0.21 eV per atom; offset from the most stable computed form = 3.07 eV per formula unit; space-group type = P6_3/mcm, No. 193; ρ = 12.935 Mg/m³; total energy = -199.29 eV/cell; V = 17.17 A^3/atom
1.0
8.2335 0.0000 0.0000
-4.1168 7.1304 0.0000
0.0000 0.0000 5.2633
Ta Mo
8 10
Direct
0.0000 0.0000 0.0000
0.0000 0.0000 0.5000
0.0000 0.3684 0.2500
0.0000 0.6316 0.7500
0.3684 0.0000 0.2500
0.3684 0.3684 0.7500
0.6316 0.0000 0.7500
0.6316 0.6316 0.2500
0.0000 0.3015 0.7500
0.0000 0.6985 0.2500
0.3015 0.0000 0.7500
0.3015 0.3015 0.2500
0.3333 0.6667 0.0000
0.3333 0.6667 0.5000
0.6667 0.3333 0.0000
0.6667 0.3333 0.5000
0.6985 0.0000 0.2500
0.6985 0.6985 0.7500



GGA-PBE ZnAgW2, relaxed; formation enthalpy at 0 K = 0.33 eV per atom; space-group type = R3m, No. 160; ρ = 13.858 Mg/m³; total energy = -28.69 eV/cell; V = 16.21 A^3/atom
1.0
1.3995 0.8080 9.5536
-1.3995 0.8080 9.5536
0.0000 -1.6160 9.5536
Zn Ag W
1 1 2
Direct
0.0000 0.0000 0.0000
0.2531 0.2531 0.2531
0.4988 0.4988 0.4988
0.7477 0.7477 0.7477



GGA-PBE RbBaAu2, relaxed; formation enthalpy at 0 K = -0.46 eV per atom; offset from the most stable computed form = 0.19 eV per formula unit; space-group type = R-3m, No. 166; ρ = 6.256 Mg/m³; total energy = -11.28 eV/cell; V = 40.93 A^3/atom
1.0
2.3892 1.3794 8.2788
-2.3892 1.3794 8.2788
0.0000 -2.7588 8.2788
Rb Ba Au
1 1 2
Direct
0.0000 0.0000 0.0000
0.5000 0.5000 0.5000
0.2414 0.2414 0.2414
0.7586 0.7586 0.7586



GGA-PBE Y2MgReC, relaxed; formation enthalpy at 0 K = -0.21 eV per atom; space-group type = P4/mmm, No. 123; ρ = 6.567 Mg/m³; total energy = -37.25 eV/cell; V = 20.25 A^3/atom
1.0
5.0221 0.0000 0.0000
0.0000 5.0221 0.0000
0.0000 0.0000 4.0137
Y Mg Re C
2 1 1 1
Direct
0.0000 0.5000 0.0000
0.5000 0.0000 0.0000
0.0000 0.0000 0.5000
0.5000 0.5000 0.5000
0.5000 0.5000 0.0000



GGA-PBE NaLaSiCl2, relaxed; space-group type = P4/mmm, No. 123; ρ = 3.293 Mg/m³; total energy = -18.61 eV/cell; raw formation energy = -0.6494 eV/atom; V = 26.31 A^3/atom
1.0
4.8437 0.0000 0.0000
0.0000 4.8437 0.0000
0.0000 0.0000 5.6075
Na La Si Cl
1 1 1 2
Direct
0.0000 0.0000 0.0000
0.5000 0.5000 0.5000
0.0000 0.0000 0.5000
0.0000 0.5000 0.0000
0.5000 0.0000 0.0000



GGA-PBE LaScAlGa, relaxed; formation enthalpy at 0 K = -0.45 eV per atom; space-group type = F-43m, No. 216; ρ = 5.028 Mg/m³; total energy = -19.82 eV/cell; V = 23.16 A^3/atom
1.0
0.0000 3.5916 3.5916
3.5916 0.0000 3.5916
3.5916 3.5916 0.0000
La Sc Al Ga
1 1 1 1
Direct
0.0000 0.0000 0.0000
0.5000 0.5000 0.5000
0.2500 0.2500 0.2500
0.7500 0.7500 0.7500



GGA-PBE Mg7Rh3, relaxed; formation enthalpy at 0 K = -0.36 eV per atom; offset from the most stable computed form = 0.00 eV per formula unit; space-group type = C2/m, No. 12; ρ = 4.559 Mg/m³; total energy = -36.77 eV/cell; V = 17.44 A^3/atom
1.0
7.0548 -2.2169 0.0000
7.0548 2.2169 0.0000
-0.9010 0.0000 5.5763
Mg Rh
7 3
Direct
0.0000 0.0000 0.0000
0.2050 0.2050 0.6518
0.3695 0.3695 0.1109
0.4139 0.4139 0.6377
0.5861 0.5861 0.3623
0.6305 0.6305 0.8891
0.7950 0.7950 0.3482
0.0000 0.0000 0.5000
0.1847 0.1847 0.1615
0.8153 0.8153 0.8385